(1)
First-principles (GGA-PBE) data for Tl4SbSe4 after structural relaxation, as listed in Alexandria via LeMat-Bulk. Values from VASP.

## Properties
The density of states at the Fermi level is 0.5685 states/eV per atom. As for the space group: I-42m (121). The magnetic moment is 0.00 μB per cell.

Structure (Quantum ESPRESSO input):
```
&SYSTEM
  ibrav = 0, nat = 9, ntyp = 3
/
ATOMIC_SPECIES
Tl 204.38 Tl.upf
Sb 121.76 Sb.upf
Se 78.96 Se.upf
ATOMIC_POSITIONS crystal
Tl 0.500 0.000 0.000
Tl 0.000 0.500 0.000
Tl 0.335 0.335 0.670
Tl 0.665 0.665 0.330
Sb 0.000 0.000 0.000
Se 0.667 0.667 0.723
Se 0.333 0.944 0.277
Se 0.056 0.056 0.723
Se 0.944 0.333 0.277
CELL_PARAMETERS angstrom
7.809 0.000 0.000
0.000 7.809 0.000
-3.905 -3.905 5.663
```



(2)
First-principles (GGA-PBE) data for Tl4SbSe4 after structural relaxation, as listed in Alexandria via LeMat-Bulk. Values from VASP.

## Properties
The density of states at the Fermi level is 0.5942 states/eV per atom. As for the space group: C2/m (12). The magnetic moment is 0.00 μB per cell.

Structure (Quantum ESPRESSO input):
```
&SYSTEM
  ibrav = 0, nat = 9, ntyp = 3
/
ATOMIC_SPECIES
Tl 204.38 Tl.upf
Sb 121.76 Sb.upf
Se 78.96 Se.upf
ATOMIC_POSITIONS crystal
Tl 0.685 0.401 0.229
Tl 0.911 0.778 0.400
Tl 0.315 0.599 0.771
Tl 0.089 0.222 0.600
Sb 0.500 0.000 0.000
Se 0.322 0.069 0.288
Se 0.678 0.931 0.712
Se 0.897 0.271 0.934
Se 0.103 0.729 0.066
CELL_PARAMETERS angstrom
-2.180 -1.330 -3.421
-5.432 -4.362 2.493
-7.624 5.786 -0.055
```



Most stable one: (2), least stable one: (1).



(1)
First-principles (GGA-PBE) data for TlSb3Se after structural relaxation, as listed in Alexandria via LeMat-Bulk. Values from VASP.

## Properties
The density of states at the Fermi level is 1.6772 states/eV per atom. As for the space group: Pm-3m (221). The magnetic moment is 0.00 μB per cell.

Structure (Quantum ESPRESSO input):
```
&SYSTEM
  ibrav = 0, nat = 5, ntyp = 3
/
ATOMIC_SPECIES
Sb 121.76 Sb.upf
Tl 204.38 Tl.upf
Se 78.96 Se.upf
ATOMIC_POSITIONS crystal
Sb 0.000 0.500 0.000
Sb 0.000 0.000 0.500
Sb 0.500 0.000 0.000
Tl 0.000 0.000 0.000
Se 0.500 0.500 0.500
CELL_PARAMETERS angstrom
5.664 0.000 0.000
0.000 5.664 0.000
0.000 0.000 5.664
```



(2)
First-principles (GGA-PBE) data for TlSb3Se after structural relaxation, as listed in Alexandria via LeMat-Bulk. Values from VASP.

## Properties
The density of states at the Fermi level is 1.8594 states/eV per atom. As for the space group: Pm-3m (221). The magnetic moment is 0.00 μB per cell.

Structure (Quantum ESPRESSO input):
```
&SYSTEM
  ibrav = 0, nat = 5, ntyp = 3
/
ATOMIC_SPECIES
Sb 121.76 Sb.upf
Tl 204.38 Tl.upf
Se 78.96 Se.upf
ATOMIC_POSITIONS crystal
Sb 0.000 0.500 0.000
Sb 0.000 0.000 0.500
Sb 0.500 0.000 0.000
Tl 0.500 0.500 0.500
Se 0.000 0.000 0.000
CELL_PARAMETERS angstrom
5.513 0.000 0.000
0.000 5.513 0.000
0.000 0.000 5.513
```



Most stable one: (2), least stable one: (1).



(1)
First-principles (GGA-PBE) data for Tm3SbSe2 after structural relaxation, as listed in Alexandria via LeMat-Bulk. Values from VASP.

## Properties
The density of states at the Fermi level is 0.6787 states/eV per atom. As for the space group: Imma (74). The magnetic moment is 0.62 μB per cell.

Structure (Quantum ESPRESSO input):
```
&SYSTEM
  ibrav = 0, nat = 12, ntyp = 3
/
ATOMIC_SPECIES
Tm 168.93 Tm.upf
Sb 121.76 Sb.upf
Se 78.96 Se.upf
ATOMIC_POSITIONS crystal
Tm 0.000 0.726 0.274
Tm 0.000 0.274 0.726
Tm 0.500 0.774 0.226
Tm 0.500 0.000 0.500
Tm 0.500 0.500 0.000
Tm 0.500 0.226 0.774
Sb 0.222 0.250 0.250
Sb 0.778 0.750 0.750
Se 0.243 0.958 0.958
Se 0.341 0.458 0.458
Se 0.659 0.542 0.542
Se 0.757 0.042 0.042
CELL_PARAMETERS angstrom
-2.129 -1.813 9.067
-6.948 -2.558 2.822
-1.272 -7.117 3.243
```



(2)
First-principles (GGA-PBE) data for Tm3SbSe2 after structural relaxation, as listed in Alexandria via LeMat-Bulk. Values from VASP.

## Properties
The density of states at the Fermi level is 0.3475 states/eV per atom. As for the space group: Immm (71). The magnetic moment is 0.00 μB per cell.

Structure (Quantum ESPRESSO input):
```
&SYSTEM
  ibrav = 0, nat = 6, ntyp = 3
/
ATOMIC_SPECIES
Tm 168.93 Tm.upf
Sb 121.76 Sb.upf
Se 78.96 Se.upf
ATOMIC_POSITIONS crystal
Tm 0.825 0.325 0.150
Tm 0.175 0.675 0.850
Tm 0.500 0.000 0.500
Sb 0.500 0.500 0.500
Se 0.836 0.836 0.171
Se 0.164 0.164 0.829
CELL_PARAMETERS angstrom
-2.736 -1.012 -2.933
4.153 0.607 -4.084
0.799 -5.748 4.156
```



Most stable one: (2), least stable one: (1).



(1)
First-principles (GGA-PBE) data for TmSbSe3 after structural relaxation, as listed in Alexandria via LeMat-Bulk. Values from VASP.

## Properties
As for the space group: P2_1/m (11). The magnetic moment is 0.00 μB per cell.

Structure (Quantum ESPRESSO input):
```
&SYSTEM
  ibrav = 0, nat = 10, ntyp = 3
/
ATOMIC_SPECIES
Tm 168.93 Tm.upf
Sb 121.76 Sb.upf
Se 78.96 Se.upf
ATOMIC_POSITIONS crystal
Tm 0.250 0.928 0.169
Tm 0.750 0.072 0.831
Sb 0.250 0.583 0.809
Sb 0.750 0.417 0.191
Se 0.250 0.230 0.994
Se 0.750 0.770 0.006
Se 0.250 0.592 0.324
Se 0.750 0.408 0.676
Se 0.250 0.905 0.681
Se 0.750 0.095 0.319
CELL_PARAMETERS angstrom
-0.642 -0.308 3.985
-5.746 -4.150 -1.247
6.081 -8.420 0.329
```



(2)
First-principles (GGA-PBE) data for TmSbSe3 after structural relaxation, as listed in Alexandria via LeMat-Bulk. Values from VASP.

## Properties
As for the space group: P-6c2 (188). The magnetic moment is 0.00 μB per cell.

Structure (Quantum ESPRESSO input):
```
&SYSTEM
  ibrav = 0, nat = 10, ntyp = 3
/
ATOMIC_SPECIES
Tm 168.93 Tm.upf
Sb 121.76 Sb.upf
Se 78.96 Se.upf
ATOMIC_POSITIONS crystal
Tm 0.000 0.000 0.000
Tm 0.500 0.000 0.000
Sb 0.500 0.667 0.333
Sb 0.000 0.667 0.333
Se 0.750 0.327 0.326
Se 0.750 0.999 0.673
Se 0.750 0.674 0.001
Se 0.250 0.674 0.673
Se 0.250 0.327 0.001
Se 0.250 0.999 0.326
CELL_PARAMETERS angstrom
-2.044 5.141 4.331
3.301 -3.096 5.232
3.318 4.628 -3.928
```



Most stable one: (1), least stable one: (2).



(1)
First-principles (GGA-PBE) data for Tm4SbSe2 after structural relaxation, as listed in Alexandria via LeMat-Bulk. Values from VASP.

## Properties
The density of states at the Fermi level is 0.6246 states/eV per atom. As for the space group: I-42d (122). The magnetic moment is 0.00 μB per cell.

Structure (Quantum ESPRESSO input):
```
&SYSTEM
  ibrav = 0, nat = 14, ntyp = 3
/
ATOMIC_SPECIES
Tm 168.93 Tm.upf
Sb 121.76 Sb.upf
Se 78.96 Se.upf
ATOMIC_POSITIONS crystal
Tm 0.264 0.872 0.260
Tm 0.996 0.736 0.608
Tm 0.612 0.004 0.740
Tm 0.128 0.388 0.392
Tm 0.486 0.246 0.108
Tm 0.754 0.862 0.240
Tm 0.138 0.378 0.892
Tm 0.622 0.514 0.760
Sb 0.750 0.250 0.500
Sb 0.000 0.000 0.000
Se 0.875 0.499 0.124
Se 0.249 0.125 0.624
Se 0.375 0.751 0.876
Se 0.501 0.625 0.376
CELL_PARAMETERS angstrom
7.176 0.137 -2.373
-3.710 6.144 -2.373
-0.075 -0.137 7.558
```



(2)
First-principles (GGA-PBE) data for Tm4SbSe2 after structural relaxation, as listed in Alexandria via LeMat-Bulk. Values from VASP.

## Properties
The density of states at the Fermi level is 0.6955 states/eV per atom. As for the space group: Cmmm (65). The magnetic moment is 0.00 μB per cell.

Structure (Quantum ESPRESSO input):
```
&SYSTEM
  ibrav = 0, nat = 14, ntyp = 3
/
ATOMIC_SPECIES
Tm 168.93 Tm.upf
Sb 121.76 Sb.upf
Se 78.96 Se.upf
ATOMIC_POSITIONS crystal
Tm 0.771 0.771 0.000
Tm 0.229 0.229 0.000
Tm 0.229 0.229 0.500
Tm 0.771 0.771 0.500
Tm 0.500 0.000 0.250
Tm 0.000 0.500 0.250
Tm 0.500 0.000 0.750
Tm 0.000 0.500 0.750
Sb 0.500 0.500 0.250
Sb 0.500 0.500 0.750
Se 0.187 0.813 0.000
Se 0.813 0.187 0.000
Se 0.187 0.813 0.500
Se 0.813 0.187 0.500
CELL_PARAMETERS angstrom
-6.665 -1.454 1.443
3.170 -5.274 -3.279
2.246 -3.136 7.216
```



Most stable one: (1), least stable one: (2).